Record 1
The following is a DFT calculation (PBE) of a geometry-optimized Ti2SnGeS structure.

Cell: 4.5160 4.5160 5.3249 Å, 90.00 90.00 90.00°
Atoms (fractional coordinates):
Ti  0.0000  0.5000  0.0000
Ti  0.5000  0.0000  0.0000
Sn  0.0000  0.0000  0.5000
Ge  0.5000  0.5000  0.5000
S  0.0000  0.0000  0.0000

Results
spin magnetization: 0.00 μB per atom
E_tot: -5.62 eV per atom
symmetry: No. 123
mass density: 4.880 g/cm3

---

Record 2
The following is a DFT calculation (PBE) of a geometry-optimized BeZn2Cl structure.

Cell: 2.9646 2.9646 7.7367 Å, 90.00 90.00 90.00°
Atoms (fractional coordinates):
Be  0.0000  0.0000  0.0000
Zn  0.0000  0.0000  0.5873
Zn  0.5000  0.5000  0.8029
Cl  0.5000  0.5000  0.1774

Results
spin magnetization: 0.00 μB per atom
energy above the most stable polymorph in this dataset: 229 meV per atom
E_tot: -1.89 eV per atom
symmetry: No. 99
mass density: 4.281 g/cm3

---

Record 3
The following is a DFT calculation (PBE) of a geometry-optimized AlBSbI2 structure.

Cell: 5.5392 5.5392 5.3934 Å, 90.00 90.00 90.00°
Atoms (fractional coordinates):
Al  0.0000  0.0000  0.0000
B  0.5000  0.5000  0.5000
Sb  0.0000  0.0000  0.5000
I  0.0000  0.5000  0.0000
I  0.5000  0.0000  0.0000

Results
spin magnetization: 0.00 μB per atom
energy above the most stable polymorph in this dataset: 334 meV per atom
E_tot: -2.41 eV per atom
symmetry: No. 123
mass density: 4.148 g/cm3

---

Record 4
The following is a DFT calculation (PBE) of a geometry-optimized Pr3ScO structure.

Cell: 5.0734 5.0734 5.0734 Å, 90.00 90.00 90.00°
Atoms (fractional coordinates):
Pr  0.0000  0.0000  0.5000
Pr  0.0000  0.5000  0.0000
Pr  0.5000  0.0000  0.0000
Sc  0.5000  0.5000  0.5000
O  0.0000  0.0000  0.0000

Results
spin magnetization: 0.00 μB per atom
E_tot: -6.23 eV per atom
symmetry: No. 221
mass density: 6.150 g/cm3

---

Record 5
The following is a DFT calculation (PBE) of a geometry-optimized Cd8Sn3Hg2 structure.

Cell: 6.9965 4.3974 10.8642 Å, 90.00 100.99 90.00°
Atoms (fractional coordinates):
Cd  0.0762  0.0000  0.3394
Cd  0.0770  0.5000  0.8706
Cd  0.3501  0.5000  0.2611
Cd  0.3569  0.0000  0.8066
Cd  0.6431  0.0000  0.1934
Cd  0.6499  0.5000  0.7389
Cd  0.9230  0.5000  0.1294
Cd  0.9238  0.0000  0.6606
Sn  0.2211  0.5000  0.5904
Sn  0.5000  0.0000  0.5000
Sn  0.7789  0.5000  0.4096
Hg  0.2379  0.0000  0.0589
Hg  0.7621  0.0000  0.9411

Results
spin magnetization: 0.00 μB per atom
energy above the most stable polymorph in this dataset: 0 meV per atom
E_tot: -1.49 eV per atom
symmetry: No. 10
mass density: 8.384 g/cm3